A relaxed structure of Ho4Er3PuS8, computed with PBE.

As for the crystal system: trigonal. Its total energy is -6.91 eV/atom. The size of the total moment is 0.36 μB per atom. As for the calculated volume: 331.4 Å³ per cell.

Cell: 7.7672 7.7682 7.7672 Å, 120.00 120.00 90.00°
Closest atoms and distances in Å follow each position.
Fractional coordinates of all 16 atoms:
S 0.7482 0.2495 0.0012  3 Ho 2.73-2.75, 2 Er 2.74, 1 Pu 2.77
S 0.2518 0.7505 0.9988  3 Ho 2.73-2.75, 2 Er 2.74, 1 Pu 2.77
S 0.2506 0.2519 0.5013  3 Er 2.74, 3 Ho 2.75
S 0.2530 0.2495 0.0012  3 Ho 2.73-2.75, 2 Er 2.74, 1 Pu 2.77
S 0.2518 0.7506 0.5036  3 Ho 2.73-2.75, 2 Er 2.74, 1 Pu 2.77
S 0.7470 0.7505 0.9988  3 Ho 2.73-2.75, 2 Er 2.74, 1 Pu 2.77
S 0.7482 0.2494 0.4964  3 Ho 2.73-2.75, 2 Er 2.74, 1 Pu 2.77
S 0.7494 0.7481 0.4987  3 Er 2.74, 3 Ho 2.75
Ho 0.5000 0.0000 0.5000  6 S 2.75
Ho 0.5000 0.0000 0.0000  6 S 2.73
Ho 0.0000 0.0000 0.0000  6 S 2.75
Ho 0.0000 0.0000 0.5000  6 S 2.75
Er 0.0000 0.5000 0.5000  6 S 2.74
Er 0.5000 0.5000 0.0000  6 S 2.74
Er 0.5000 0.5000 0.5000  6 S 2.74
Pu 0.0000 0.5000 0.0000  6 S 2.77